Record 1
5
Lattice="-2.515 2.515 5.499 2.515 -2.515 5.499 2.515 2.515 -5.499" Properties=species:S:1:pos:R:3 comment="BaHf2Ga2, optimized geometry, DFT GGA-PBE" dos_ef_per_ev_atom=0.50 ef_ev_per_atom=0.068 vol_a3_per_cell=139.1 pbc="T T T"
Ba 0.000 0.000 0.000
Hf 0.000 0.000 3.746
Hf 0.000 0.000 7.252
Ga 2.515 0.000 2.749
Ga 0.000 2.515 2.749

Record 2
5
Lattice="5.303 0.000 0.000 0.000 5.303 0.000 0.000 0.000 5.303" Properties=species:S:1:pos:R:3 comment="BaHf3Ga, optimized geometry, DFT GGA-PBE" dos_ef_per_ev_atom=2.07 ef_ev_per_atom=2.080 vol_a3_per_cell=149.1 pbc="T T T"
Ba 0.000 0.000 0.000
Hf 0.000 0.000 2.652
Hf 0.000 2.652 0.000
Hf 2.652 0.000 0.000
Ga 2.652 2.652 2.652

Record 3
4
Lattice="0.000 3.679 3.679 3.679 0.000 3.679 3.679 3.679 0.000" Properties=species:S:1:pos:R:3 comment="BaHfGa2, optimized geometry, DFT GGA-PBE" dos_ef_per_ev_atom=0.62 ef_ev_per_atom=0.071 vol_a3_per_cell=99.6 pbc="T T T"
Ba 0.000 0.000 0.000
Hf 3.679 3.679 3.679
Ga 1.840 1.840 1.840
Ga 5.519 5.519 5.519

Record 4
8
Lattice="-2.657 2.657 9.261 2.657 -2.657 9.261 2.657 2.657 -9.261" Properties=species:S:1:pos:R:3 comment="BaHfGa2, optimized geometry, DFT GGA-PBE" dos_ef_per_ev_atom=0.92 ef_ev_per_atom=0.228 vol_a3_per_cell=261.5 pbc="T T T"
Ba 0.000 0.000 0.000
Ba 0.000 2.657 4.631
Hf 2.657 0.000 4.631
Hf 0.000 0.000 9.261
Ga 1.328 -0.499 6.946
Ga 2.158 1.328 2.315
Ga 1.328 3.156 -2.315
Ga 0.499 1.328 11.577

Record 5
5
Lattice="5.286 0.000 0.000 0.000 5.286 0.000 0.000 0.000 5.572" Properties=species:S:1:pos:R:3 comment="BaHfGa2Hg, optimized geometry, DFT GGA-PBE" dos_ef_per_ev_atom=1.05 ef_ev_per_atom=-0.042 vol_a3_per_cell=155.7 pbc="T T T"
Ba 0.000 0.000 0.000
Hf 2.643 2.643 2.786
Ga 0.000 2.643 2.786
Ga 2.643 0.000 2.786
Hg 2.643 2.643 0.000

Record 6
5
Lattice="5.608 0.000 0.000 0.000 5.608 0.000 0.000 0.000 7.224" Properties=species:S:1:pos:R:3 comment="BaHfGaI2, optimized geometry, DFT GGA-PBE" dos_ef_per_ev_atom=0.88 final_energy_ev_per_atom=-3.419 vol_a3_per_cell=227.1 pbc="T T T"
Ba 0.000 0.000 0.000
Hf 0.000 0.000 3.612
Ga 2.804 2.804 0.000
I 0.000 2.804 3.612
I 2.804 0.000 3.612

Which formula does entry 3 have?
BaHfGa2